DFT (PBE-GGA) results for an optimized crystal structure of RbWN2.

```
RbWN2
1.0
-3.0878 -3.8036 3.7018
-4.3467 4.2164 1.0163
1.5081 -1.6758 -5.7116
Rb W N
2 2 4
Direct
0.0000 0.0000 0.0000
0.7500 0.2500 0.5000
0.5000 0.5000 0.0000
0.2500 0.7500 0.5000
0.4250 0.6250 0.3000
0.3750 0.6750 0.8000
0.3250 0.1250 0.7000
0.8750 0.5750 0.2000
```

Excess energy over the best structure of this formula in the dataset ... 0 meV/atom
Density ... 6.1 g cm⁻³
DFT total energy ... -8.071 eV/atom

=====

DFT (PBE-GGA) results for an optimized crystal structure of GdGeTe3Au.

```
GdGeTe3Au
1.0
-8.8994 2.2584 6.6919
-2.3671 -7.4259 -0.6419
0.1515 -7.3452 2.6802
Te Ge Au Gd
6 2 2 2
Direct
0.8046 0.3508 0.3508
0.0000 0.0904 0.0904
0.3046 0.6492 0.6492
0.6954 0.6492 0.6492
0.5000 0.9096 0.9096
0.1954 0.3508 0.3508
0.0000 0.8258 0.8258
0.5000 0.1742 0.1742
0.5000 0.5339 0.5339
0.0000 0.4661 0.4661
0.7500 0.0000 0.0000
0.2500 0.0000 0.0000
```

Excess energy over the best structure of this formula in the dataset ... 2 meV/atom
Density ... 7.5 g cm⁻³
DFT total energy ... -4.232 eV/atom

=====

DFT (PBE-GGA) results for an optimized crystal structure of PrAgO3.

```
PrAgO3
1.0
-1.2088 4.6616 2.8551
-5.8056 -0.6383 -1.4159
-1.1374 -4.3533 6.6261
O Pr Ag
12 4 4
Direct
0.8037 0.8084 0.4414
0.6183 0.0420 0.7500
0.6963 0.3084 0.4414
0.3037 0.6916 0.5586
0.6963 0.3084 0.0586
0.1183 0.4580 0.2500
0.1963 0.1916 0.5586
0.3037 0.6916 0.9414
0.3817 0.9580 0.2500
0.8037 0.8084 0.0586
0.1963 0.1916 0.9414
0.8817 0.5420 0.7500
0.5230 0.5750 0.2500
0.4770 0.4250 0.7500
0.0230 0.9250 0.7500
0.9770 0.0750 0.2500
0.0000 0.5000 0.5000
0.0000 0.5000 0.0000
0.5000 0.0000 0.5000
0.5000 0.0000 0.0000
```

Density ... 7.3 g cm⁻³
DFT total energy ... -6.125 eV/atom

=====

DFT (PBE-GGA) results for an optimized crystal structure of Ga2PtI4Br4.

```
Ga2PtI4Br4
1.0
-7.2333 1.0136 3.9933
-5.9730 -5.3062 -2.3371
3.8081 -4.5562 5.3067
Br Ga I Pt
4 2 4 1
Direct
0.6992 0.0784 0.8507
0.9216 0.3008 0.1493
0.3008 0.9216 0.1493
0.0784 0.6992 0.8507
0.7869 0.7869 0.6691
0.2131 0.2131 0.3309
0.8189 0.8189 0.3694
0.1811 0.1811 0.6306
0.6145 0.6145 0.7122
0.3855 0.3855 0.2878
0.0000 0.0000 0.0000
```

Excess energy over the best structure of this formula in the dataset ... 64 meV/atom
Density ... 3.9 g cm⁻³
DFT total energy ... -2.759 eV/atom

=====

DFT (PBE-GGA) results for an optimized crystal structure of Rb2Cu3As4.

```
Rb2Cu3As4
1.0
8.5110 0.0000 0.0000
0.0000 4.2831 0.0000
-4.2544 0.0000 7.3740
As Rb Cu
4 2 3
Direct
0.6667 0.5000 0.3334
0.7338 0.5000 0.6551
0.9214 0.5000 0.2662
0.3448 0.5000 0.0786
0.3332 0.5000 0.6667
0.0000 0.0000 0.0000
0.6598 0.0000 0.5155
0.8558 0.0000 0.3403
0.4845 0.0000 0.1443
```

Density ... 4.1 g cm⁻³
DFT total energy ... -3.500 eV/atom

=====

DFT (PBE-GGA) results for an optimized crystal structure of HoEr2Tl3AgIr2.

```
HoEr2Tl3AgIr2
1.0
-3.3184 1.4149 1.0391
-0.5427 -5.4190 5.6461
3.4112 6.9048 1.4917
Tl Er Ir Ho Ag
3 2 2 1 1
Direct
0.5000 0.2727 0.2727
0.5000 0.7272 0.0000
0.5000 0.0000 0.7272
0.0000 0.0001 0.4105
0.0000 0.4105 0.0001
0.5000 0.6668 0.3325
0.5000 0.3325 0.6668
0.0000 0.5898 0.5898
0.0000 0.0002 0.0002
```

Density ... 13.3 g cm⁻³
DFT total energy ... -5.024 eV/atom

=====

DFT (PBE-GGA) results for an optimized crystal structure of SmY2Mg3Tl2Cd.

```
SmY2Mg3Tl2Cd
1.0
4.6487 0.0000 0.0000
0.0000 6.6104 3.7730
0.0000 -6.6104 3.7730
Mg Y Sm Tl Cd
3 2 1 2 1
Direct
0.5000 0.0005 0.2390
0.5000 0.7591 0.7591
0.5000 0.2390 0.0005
0.0000 0.5759 0.0017
0.0000 0.0017 0.5759
0.0000 0.4259 0.4259
0.5000 0.3333 0.6698
0.5000 0.6698 0.3333
0.0000 0.9947 0.9947
```

Density ... 6.6 g cm⁻³
DFT total energy ... -3.450 eV/atom

=====

DFT (PBE-GGA) results for an optimized crystal structure of Nd5C2Cl3O10.

```
Nd5C2Cl3O10
1.0
-1.5902 5.5065 3.6889
-5.0279 4.5802 -0.4472
-5.0671 -5.8861 5.5298
O C Nd Cl
10 2 5 3
Direct
0.1106 0.5955 0.4353
0.4045 0.8894 0.5647
0.8039 0.8039 0.7819
0.7423 0.1554 0.7220
0.8894 0.4045 0.5647
0.1961 0.1961 0.2181
0.1554 0.7423 0.7220
0.2577 0.8446 0.2780
0.5955 0.1106 0.4353
0.8446 0.2577 0.2780
0.0992 0.0992 0.2503
0.9008 0.9008 0.7497
0.2928 0.2928 0.6188
0.6156 0.6156 0.7622
0.3844 0.3844 0.2378
0.0000 0.0000 0.5000
0.7072 0.7072 0.3812
0.5000 0.5000 0.0000
0.1807 0.1807 0.8749
0.8193 0.8193 0.1251
```

Density ... 5.2 g cm⁻³
DFT total energy ... -7.471 eV/atom